A | Material: PSOF2
Method: DFT, PBE-GGA
State: relaxed Values from VASP.

Quantum ESPRESSO input file:
```
&SYSTEM
  ibrav = 0, nat = 5, ntyp = 4
/
ATOMIC_SPECIES
P 30.97 P.upf
S 32.06 S.upf
O 16.00 O.upf
F 19.00 F.upf
CELL_PARAMETERS angstrom
4.3524 0.0000 0.0000
0.0000 4.3524 0.0000
0.0000 0.0000 3.4906
ATOMIC_POSITIONS angstrom
P 0.0000 0.0000 0.0000
S 2.1762 2.1762 1.7453
O 0.0000 0.0000 1.7453
F 0.0000 2.1762 0.0000
F 2.1762 0.0000 0.0000
```

B | Material: PSOF2
Method: DFT, PBE-GGA
State: relaxed Values from VASP.

Quantum ESPRESSO input file:
```
&SYSTEM
  ibrav = 0, nat = 5, ntyp = 4
/
ATOMIC_SPECIES
P 30.97 P.upf
S 32.06 S.upf
O 16.00 O.upf
F 19.00 F.upf
CELL_PARAMETERS angstrom
4.5788 0.0000 0.0000
0.0000 4.5788 0.0000
0.0000 0.0000 3.3823
ATOMIC_POSITIONS angstrom
P 0.0000 0.0000 0.0000
S 2.2894 2.2894 1.6912
O 2.2894 2.2894 0.0000
F 0.0000 2.2894 1.6912
F 2.2894 0.0000 1.6912
```

Which of them is least stable? Easy: B.